# BP2C

An optimized crystal structure of BP2C (PBE-GGA, Alexandria).

Cell and atoms, written as POSCAR:
```
BP2C
1.0
3.092 0.000 0.003
1.546 2.678 0.004
1.460 0.774 7.640
B P C
1 2 1
Direct
0.793 0.043 0.511
0.124 0.375 0.517
0.316 0.586 0.950
0.629 0.901 0.012
```

Summary:
DOS(E_F) ... 0.6 states/eV/cell
Offset from the most stable computed form ... 303 meV/atom
Energy relative to the elements ... 46.73 kJ/mol of atoms
SG ... P1, No. 1